No. 1
# ZnCu2W GGA-PBE relaxed
# total energy = -42.0 eV for the cell shown
# mass density = 11.27 g/cm³
data_ZnCu2W
_chemical_formula_sum 'Zn2 Cu4 W2'
_cell_length_a 2.6077
_cell_length_b 4.6617
_cell_length_c 9.1236
_cell_angle_alpha 90.00
_cell_angle_beta 90.00
_cell_angle_gamma 90.00
_space_group_name_H-M_alt 'I m m m'
_space_group_IT_number 71
_space_group_name_Hall '-I 2 2'
loop_
_atom_site_label
_atom_site_type_symbol
_atom_site_fract_x
_atom_site_fract_y
_atom_site_fract_z
_atom_site_occupancy
Zn1 Zn 0.0000 0.0000 0.0000 1
Cu1 Cu 0.0000 0.5000 0.2582 1
W1 W 0.0000 0.0000 0.5000 1

No. 2
# ZnCu2W GGA-PBE relaxed
# total energy = -42.5 eV for the cell shown
# mass density = 11.27 g/cm³
data_ZnCu2W
_chemical_formula_sum 'Zn2 Cu4 W2'
_cell_length_a 5.4766
_cell_length_b 7.9160
_cell_length_c 2.5575
_cell_angle_alpha 90.00
_cell_angle_beta 90.00
_cell_angle_gamma 90.00
_space_group_name_H-M_alt 'C m m m'
_space_group_IT_number 65
_space_group_name_Hall '-C 2 2'
loop_
_atom_site_label
_atom_site_type_symbol
_atom_site_fract_x
_atom_site_fract_y
_atom_site_fract_z
_atom_site_occupancy
Zn1 Zn 0.0000 0.0000 0.0000 1
Cu1 Cu 0.2500 0.2500 0.5000 1
W1 W 0.0000 0.5000 0.0000 1

No. 3
# ZnCuW2 GGA-PBE relaxed
# total energy = -30.1 eV for the cell shown
# mass density = 14.07 g/cm³
data_ZnCuW2
_chemical_formula_sum 'Zn1 Cu1 W2'
_cell_length_a 3.5639
_cell_length_b 3.9079
_cell_length_c 4.2075
_cell_angle_alpha 90.00
_cell_angle_beta 90.00
_cell_angle_gamma 90.00
_space_group_name_H-M_alt 'P m m m'
_space_group_IT_number 47
loop_
_space_group_symop_operation_xyz
'x,y,z'
'-x,-y,-z'
'-x,-y,z'
'x,y,-z'
'x,-y,-z'
'-x,y,z'
'-x,y,-z'
'x,-y,z'
loop_
_atom_site_label
_atom_site_type_symbol
_atom_site_fract_x
_atom_site_fract_y
_atom_site_fract_z
_atom_site_occupancy
Zn1 Zn 0.0000 0.0000 0.0000 1
Cu1 Cu 0.5000 0.5000 0.0000 1
W1 W 0.0000 0.5000 0.5000 1
W2 W 0.5000 0.0000 0.5000 1

No. 4
# ZnCu2W GGA-PBE relaxed
# total energy = -42.4 eV for the cell shown
# mass density = 11.23 g/cm³
data_ZnCu2W
_chemical_formula_sum 'Zn2 Cu4 W2'
_cell_length_a 5.3363
_cell_length_b 8.8299
_cell_length_c 2.5267
_cell_angle_alpha 90.00
_cell_angle_beta 110.78
_cell_angle_gamma 90.00
_space_group_name_H-M_alt 'C 1 2/m 1'
_space_group_IT_number 12
loop_
_space_group_symop_operation_xyz
'x,y,z'
'-x,-y,-z'
'-x,y,-z'
'x,-y,z'
'x+1/2,y+1/2,z'
'-x+1/2,-y+1/2,-z'
'-x+1/2,y+1/2,-z'
'x+1/2,-y+1/2,z'
loop_
_atom_site_label
_atom_site_type_symbol
_atom_site_fract_x
_atom_site_fract_y
_atom_site_fract_z
_atom_site_occupancy
Zn1 Zn 0.0000 0.0000 0.0000 1
Cu1 Cu 0.2500 0.2500 0.5000 1
W1 W 0.0000 0.5000 0.0000 1

No. 5
# ZnCuW2 GGA-PBE relaxed
# total energy = -59.7 eV for the cell shown
# mass density = 14.07 g/cm³
data_ZnCuW2
_chemical_formula_sum 'Zn2 Cu2 W4'
_cell_length_a 3.8310
_cell_length_b 3.8310
_cell_length_c 7.9843
_cell_angle_alpha 90.00
_cell_angle_beta 90.00
_cell_angle_gamma 90.00
_space_group_name_H-M_alt 'I -4 m 2'
_space_group_IT_number 119
_space_group_name_Hall 'I -4 -2'
loop_
_atom_site_label
_atom_site_type_symbol
_atom_site_fract_x
_atom_site_fract_y
_atom_site_fract_z
_atom_site_occupancy
Zn1 Zn 0.0000 0.0000 0.0000 1
Cu1 Cu 0.0000 0.5000 0.7500 1
W1 W 0.0000 0.0000 0.5000 1
W2 W 0.0000 0.5000 0.2500 1

No. 6
# ZnCuW2 GGA-PBE relaxed
# total energy = -117.7 eV for the cell shown
# mass density = 13.70 g/cm³
data_ZnCuW2
_chemical_formula_sum 'Zn4 Cu4 W8'
_cell_length_a 6.2212
_cell_length_b 6.2212
_cell_length_c 6.2212
_cell_angle_alpha 90.00
_cell_angle_beta 90.00
_cell_angle_gamma 90.00
_space_group_name_H-M_alt 'F -4 3 m'
_space_group_IT_number 216
_space_group_name_Hall 'F -4 2 3'
loop_
_atom_site_label
_atom_site_type_symbol
_atom_site_fract_x
_atom_site_fract_y
_atom_site_fract_z
_atom_site_occupancy
Zn1 Zn 0.0000 0.0000 0.0000 1
Cu1 Cu 0.2500 0.2500 0.7500 1
W1 W 0.0000 0.0000 0.5000 1
W2 W 0.2500 0.2500 0.2500 1

No. 7
# ZnCuW2 GGA-PBE relaxed
# total energy = -29.9 eV for the cell shown
# mass density = 13.79 g/cm³
data_ZnCuW2
_chemical_formula_sum 'Zn1 Cu1 W2'
_cell_length_a 2.6508
_cell_length_b 4.0681
_cell_length_c 5.5465
_cell_angle_alpha 90.00
_cell_angle_beta 90.00
_cell_angle_gamma 90.00
_space_group_name_H-M_alt 'P m m 2'
_space_group_IT_number 25
loop_
_space_group_symop_operation_xyz
'x,y,z'
'-x,-y,z'
'-x,y,z'
'x,-y,z'
loop_
_atom_site_label
_atom_site_type_symbol
_atom_site_fract_x
_atom_site_fract_y
_atom_site_fract_z
_atom_site_occupancy
Zn1 Zn 0.0000 0.0000 0.0000 1
Cu1 Cu 0.5000 0.5000 0.2240 1
W1 W 0.0000 0.0000 0.4883 1
W2 W 0.5000 0.5000 0.7341 1

No. 8
# ZnCu2W GGA-PBE relaxed
# total energy = -20.9 eV for the cell shown
# mass density = 11.47 g/cm³
data_ZnCu2W
_chemical_formula_sum 'Zn1 Cu2 W1'
_cell_length_a 3.7867
_cell_length_b 3.7867
_cell_length_c 3.8007
_cell_angle_alpha 90.00
_cell_angle_beta 90.00
_cell_angle_gamma 90.00
_space_group_name_H-M_alt 'P 4/m m m'
_space_group_IT_number 123
_space_group_name_Hall '-P 4 2'
loop_
_atom_site_label
_atom_site_type_symbol
_atom_site_fract_x
_atom_site_fract_y
_atom_site_fract_z
_atom_site_occupancy
Zn1 Zn 0.0000 0.0000 0.0000 1
Cu1 Cu 0.0000 0.5000 0.5000 1
W1 W 0.5000 0.5000 0.0000 1

How do the records compare in magnetic moment? In the order shown, they have 0.00; 0.00; 0.00; 0.00; 0.00; 0.00; 0.00; 0.00 μB/f.u..
How do the records compare in D(E_F)? In the order shown, they have 2.43; 2.58; 1.03; 2.69; 1.74; 2.85; 2.55; 3.82 states/eV/f.u..